--- one ---
Entry from Alexandria via LeMat-Bulk: Si2SnSe after structural relaxation (GGA-PBE).

```
8
Lattice="-4.7248 1.0351 2.8573 -3.0315 -1.2336 -4.5659 -4.1350 -6.5620 1.0623" Properties=species:S:1:pos:R:3 pbc="T T T"
Si -3.6080 -2.2626 -2.1772
Si -9.8309 -5.0720 -0.6124
Si -6.0669 -5.0192 0.0700
Si -4.2767 -1.1673 1.4268
Se -5.5223 -3.9474 -2.1790
Se -3.8781 -0.0992 -0.8543
Sn -6.3690 -2.8131 1.5326
Sn 0.0000 0.0000 0.0000
```

Output
D(E_F)	3.863	states/eV/cell
space group	No. 122


--- two ---
Entry from Alexandria via LeMat-Bulk: Si2SnSe after structural relaxation (GGA-PBE).

```
4
Lattice="0.0000 3.4048 3.4048 3.4048 0.0000 3.4048 3.4048 3.4048 0.0000" Properties=species:S:1:pos:R:3 pbc="T T T"
Sn 3.4048 3.4048 3.4048
Si 5.1072 5.1072 5.1072
Si 1.7024 1.7024 1.7024
Se 0.0000 0.0000 0.0000
```

Output
D(E_F)	2.403	states/eV/cell
space group	No. 225


Energetically preferred structure: one | next structure: +141 meV per atom